Here is a geometry-optimized CsRbHClO structure from the Alexandria database. Energies are from PBE-GGA. Values from VASP.

Cell and atoms, written as Quantum ESPRESSO input:
```
&SYSTEM
  ibrav = 0, nat = 5, ntyp = 5
/
ATOMIC_SPECIES
Cs 132.91 Cs.upf
Rb 85.47 Rb.upf
H 1.01 H.upf
Cl 35.45 Cl.upf
O 16.00 O.upf
ATOMIC_POSITIONS crystal
Cs 0.000 0.000 0.000
Rb 0.477 0.477 0.427
H 0.791 0.791 0.365
Cl 0.228 0.228 0.683
O 0.743 0.743 0.228
CELL_PARAMETERS angstrom
4.115 -2.387 0.000
4.115 2.387 0.000
-2.757 0.000 7.134
```

E above lowest polymorph ... 10 meV/atom
Total DFT energy (no corrections) ... -19.659 eV/cell
DOS at the Fermi energy ... 0.000 states/eV/atom